(1)
# Cd3ReBr PBE optimized geometry
# Energy relative to the lowest polymorph listed for this composition (eV per atom): 0.814
# Energy relative to the elements, uncorrected (eV/atom): 1.66
# Total DFT energy (no corrections) (Ha/atom): -0.06314
# Volume (Å³ per cell): 165.0
# N(E_F) (states/eV per atom): 1.13
data_Cd3ReBr
_cell_length_a 5.485
_cell_length_b 5.485
_cell_length_c 5.485
_cell_angle_alpha 90.00
_cell_angle_beta 90.00
_cell_angle_gamma 90.00
_symmetry_space_group_name_H-M 'P m -3 m'
_symmetry_Int_Tables_number 221
_symmetry_space_group_name_Hall '-P 4 2 3'
loop_
_atom_site_label
_atom_site_fract_x
_atom_site_fract_y
_atom_site_fract_z
_atom_site_occupancy
Cd1 0.000 0.000 0.500 1
Re1 0.500 0.500 0.500 1
Br1 0.000 0.000 0.000 1

---

(2)
# CdRe2Br PBE optimized geometry
# Energy relative to the lowest polymorph listed for this composition (eV per atom): 0.116
# Energy relative to the elements, uncorrected (eV/atom): 0.41
# Total DFT energy (no corrections) (Ha/atom): -0.23740
# Volume (Å³ per cell): 78.2
# N(E_F) (states/eV per atom): 0.82
data_CdRe2Br
_cell_length_a 3.045
_cell_length_b 3.045
_cell_length_c 8.439
_cell_angle_alpha 90.00
_cell_angle_beta 90.00
_cell_angle_gamma 90.00
_symmetry_space_group_name_H-M 'P 4 m m'
_symmetry_Int_Tables_number 99
loop_
_symmetry_equiv_pos_as_xyz
'x,y,z'
'-y,x,z'
'-x,-y,z'
'y,-x,z'
'-x,y,z'
'y,x,z'
'x,-y,z'
'-y,-x,z'
loop_
_atom_site_label
_atom_site_fract_x
_atom_site_fract_y
_atom_site_fract_z
_atom_site_occupancy
Cd1 0.000 0.000 0.000 1
Re1 0.000 0.000 0.414 1
Re2 0.500 0.500 0.241 1
Br1 0.500 0.500 0.652 1